Entry 1:
## SrBeOs (PBE-GGA)

Data for crystalline SrBeOs at its relaxed geometry.

Cell lengths 6.2062, 6.2062, 6.2062 Å; angles 90.00, 90.00, 90.00 degrees
Last column: nearest neighbours and their distance in Å.
Space group F-43m (No. 216)
Unique sites:
1 Sr 0.0000 0.0000 0.0000  4 Be 2.69
2 Be 0.2500 0.2500 0.2500  4 Os 2.69, 4 Sr 2.69
3 Os 0.0000 0.0000 0.5000  4 Be 2.69

Calculated values
Density of states at the Fermi level   1.83 states/eV/f.u.
Volume   19.92 Å³ per atom
Energy of formation from the pure elements   1.028 eV per atom
Excess energy over the best structure of this formula in the dataset   0.938 eV per atom
Theoretical density   7.97 Mg/m³

***

Entry 2:
## BiSb2Pd (PBE-GGA)

Data for crystalline BiSb2Pd at its relaxed geometry.

Cell lengths 4.3066, 4.3066, 20.0542 Å; angles 90.00, 90.00, 120.00 degrees
Last column: nearest neighbours and their distance in Å.
Space group R3m (No. 160, hexagonal axes)
Unique sites:
1 Bi 0.0000 0.0000 0.0000  1 Pd 3.21, 6 Sb 3.22-3.31
2 Sb 0.0000 0.0000 0.5577  3 Pd 2.80
3 Sb 0.0000 0.0000 0.7686  3 Pd 2.75
4 Pd 0.0000 0.0000 0.1602  6 Sb 2.75-2.80

Calculated values
Uncorrected formation energy   -46 kJ/mol of formula units
Density of states at the Fermi level   2.03 states/eV/f.u.
Volume   26.84 Å³ per atom
Theoretical density   8.64 Mg/m³

***

Entry 3:
## Tb3CdAg4 (PBE-GGA)

Data for crystalline Tb3CdAg4 at its relaxed geometry.

Cell lengths 3.7458, 7.3379, 14.7032 Å; angles 90.00, 90.00, 90.00 degrees
Last column: nearest neighbours and their distance in Å.
Space group Immm (No. 71)
Unique sites:
1 Tb 0.0000 0.0000 0.0000  8 Ag 3.06
2 Tb 0.0000 0.5000 0.1892  6 Ag 2.99-3.04
3 Cd 0.0000 0.0000 0.5000  4 Ag 2.97
4 Ag 0.0000 0.3053 0.3677  1 Ag 2.86, 1 Cd 2.97, 5 Tb 2.99-3.06

Calculated values
Density of states at the Fermi level   6.05 states/eV/f.u.
Volume   25.26 Å³ per atom
Energy of formation from the pure elements   -0.119 eV per atom
Excess energy over the best structure of this formula in the dataset   0.159 eV per atom
Theoretical density   8.39 Mg/m³

***

Entry 4:
## KPu2MnSe4 (PBE-GGA)

Data for crystalline KPu2MnSe4 at its relaxed geometry.

Cell lengths 4.1792, 14.3591, 14.5230 Å; angles 90.00, 90.00, 90.00 degrees
Last column: nearest neighbours and their distance in Å.
Space group Cmcm (No. 63)
Unique sites:
1 K 0.0000 0.1106 0.2500  6 Se 3.28-3.42
2 Pu 0.0000 0.3677 0.0589  6 Se 2.89-2.95
3 Mn 0.0000 0.1631 0.7500  4 Se 2.48-2.52
4 Se 0.0000 0.0000 0.0000  4 Pu 2.95
5 Se 0.0000 0.2637 0.6112  1 Mn 2.48
6 Se 0.0000 0.4348 0.2500  2 Mn 2.52

Calculated values
Uncorrected formation energy   -972 kJ/mol of formula units
Density of states at the Fermi level   20.42 states/eV/f.u.
Volume   27.23 Å³ per atom
Theoretical density   6.84 Mg/m³